VASP calculation (PBE) on crystalline ZnPPd5 at its relaxed geometry.

a b c (Å): 6.398 6.398 7.360
angles (deg): 116.34 116.34 77.84
Element x y z (fractional)
Zn 0.206 0.794 0.750
Zn 0.794 0.206 0.250
P 0.000 0.500 0.000
P 0.500 0.000 0.500
Pd 0.017 0.438 0.670
Pd 0.113 0.887 0.250
Pd 0.366 0.381 0.037
Pd 0.381 0.366 0.537
Pd 0.438 0.017 0.170
Pd 0.562 0.983 0.830
Pd 0.619 0.634 0.463
Pd 0.634 0.619 0.963
Pd 0.887 0.113 0.750
Pd 0.983 0.562 0.330

---

VASP calculation (PBE) on crystalline ZnPPd4 at its relaxed geometry.

a b c (Å): 6.517 6.517 4.867
angles (deg): 101.16 101.16 111.51
Element x y z (fractional)
Zn 0.120 0.880 0.750
Zn 0.880 0.120 0.250
P 0.494 0.506 0.750
P 0.506 0.494 0.250
Pd 0.121 0.290 0.847
Pd 0.206 0.566 0.431
Pd 0.290 0.121 0.347
Pd 0.434 0.794 0.069
Pd 0.566 0.206 0.931
Pd 0.710 0.879 0.653
Pd 0.794 0.434 0.569
Pd 0.879 0.710 0.153

---

VASP calculation (PBE) on crystalline ZnP2Pd8 at its relaxed geometry.

a b c (Å): 6.474 6.474 4.414
angles (deg): 98.56 98.56 111.19
Element x y z (fractional)
Zn 0.000 0.000 0.000
P 0.321 0.679 0.500
P 0.679 0.321 0.500
Pd 0.067 0.325 0.591
Pd 0.244 0.756 0.000
Pd 0.325 0.067 0.591
Pd 0.378 0.378 0.187
Pd 0.622 0.622 0.813
Pd 0.675 0.933 0.409
Pd 0.756 0.244 0.000
Pd 0.933 0.675 0.409

---

VASP calculation (PBE) on crystalline ZnPPd at its relaxed geometry.

a b c (Å): 4.092 4.092 4.092
angles (deg): 60.00 60.00 60.00
Element x y z (fractional)
Zn 0.000 0.000 0.000
P 0.250 0.250 0.250
Pd 0.500 0.500 0.500

---

VASP calculation (PBE) on crystalline Zn6PPd12 at its relaxed geometry.

a b c (Å): 6.642 6.642 6.642
angles (deg): 92.21 92.21 92.21
Element x y z (fractional)
Zn 0.187 0.377 0.772
Zn 0.228 0.813 0.623
Zn 0.377 0.772 0.187
Zn 0.623 0.228 0.813
Zn 0.772 0.187 0.377
Zn 0.813 0.623 0.228
P 0.500 0.500 0.500
Pd 0.055 0.703 0.943
Pd 0.057 0.945 0.297
Pd 0.161 0.496 0.376
Pd 0.297 0.057 0.945
Pd 0.376 0.161 0.496
Pd 0.496 0.376 0.161
Pd 0.504 0.624 0.839
Pd 0.624 0.839 0.504
Pd 0.703 0.943 0.055
Pd 0.839 0.504 0.624
Pd 0.943 0.055 0.703
Pd 0.945 0.297 0.057

---

VASP calculation (PBE) on crystalline ZnPPd3 at its relaxed geometry.

a b c (Å): 2.974 7.717 7.717
angles (deg): 62.20 90.00 90.00
Element x y z (fractional)
Zn 0.000 0.000 0.000
Zn 0.500 0.474 0.474
P 0.500 0.508 0.937
P 0.500 0.937 0.508
Pd 0.000 0.168 0.542
Pd 0.000 0.378 0.784
Pd 0.000 0.542 0.168
Pd 0.000 0.784 0.378
Pd 0.500 0.173 0.173
Pd 0.500 0.840 0.840

---

VASP calculation (PBE) on crystalline ZnP3Pd at its relaxed geometry.

a b c (Å): 4.702 4.702 4.702
angles (deg): 90.00 90.00 90.00
Element x y z (fractional)
Zn 0.000 0.000 0.000
P 0.000 0.500 0.500
P 0.500 0.000 0.500
P 0.500 0.500 0.000
Pd 0.500 0.500 0.500

---

VASP calculation (PBE) on crystalline ZnPPd2 at its relaxed geometry.

a b c (Å): 3.076 3.076 6.152
angles (deg): 90.00 90.00 90.00
Element x y z (fractional)
Zn 0.000 0.000 0.000
P 0.000 0.000 0.500
Pd 0.500 0.500 0.260
Pd 0.500 0.500 0.740

---

Magnetization? In order: 0.00; 0.00; 0.00; 0.00; 0.00; 0.00; 0.00; 0.00 μB per formula unit.
VASP energy? In order: -4.84; -4.90; -5.32; -4.16; -4.31; -4.82; -3.66; -4.57 eV/atom.
Calculated formation energy? In order: -173; -329; -446; -201; -343; -369; 877; -306 meV per atom.